Record 1
A plane-wave DFT calculation with GGA-PBE was carried out for a geometry-optimized Tb3Zn2Ga4 structure.

Cell lengths 4.390, 5.751, 8.442 Å; angles 108.18, 90.00, 112.43 degrees
Atoms (fractional coordinates):
Tb: 0.670 0.340 0.666
Tb: 0.000 0.000 0.000
Tb: 0.330 0.660 0.334
Zn: 0.603 0.206 0.273
Zn: 0.397 0.794 0.727
Ga: 0.706 0.411 0.041
Ga: 0.294 0.589 0.959
Ga: 0.935 0.871 0.601
Ga: 0.065 0.129 0.399

Properties
spin magnetization	0.0	μB per formula unit
ΔE_f	-0.600	eV/atom
crystal system	monoclinic



Record 2
A plane-wave DFT calculation with GGA-PBE was carried out for a geometry-optimized TbZn2Ga4 structure.

Cell lengths 6.192, 6.192, 9.922 Å; angles 134.08, 134.08, 83.42 degrees
Atoms (fractional coordinates):
Tb: 0.000 0.000 0.000
Zn: 0.769 0.769 0.501
Zn: 0.231 0.231 0.499
Ga: 0.810 0.190 0.500
Ga: 0.190 0.810 0.500
Ga: 0.500 0.000 0.000
Ga: 0.000 0.500 0.000

Properties
ΔE to the lowest computed polymorph	27	meV per atom
spin magnetization	0.0	μB per formula unit
ΔE_f	-0.174	eV/atom
crystal system	orthorhombic



Record 3
A plane-wave DFT calculation with GGA-PBE was carried out for a geometry-optimized Tb2ZnGa3 structure.

Cell lengths 5.739, 5.739, 8.438 Å; angles 106.31, 106.31, 100.03 degrees
Atoms (fractional coordinates):
Tb: 0.250 0.750 0.500
Tb: 0.751 0.751 0.000
Tb: 0.750 0.250 0.500
Tb: 0.249 0.249 0.000
Zn: 0.667 0.667 0.333
Zn: 0.333 0.333 0.667
Ga: 0.335 0.833 0.168
Ga: 0.167 0.665 0.832
Ga: 0.665 0.167 0.832
Ga: 0.833 0.335 0.168
Ga: 0.167 0.167 0.335
Ga: 0.833 0.833 0.665

Properties
spin magnetization	0.0	μB per formula unit
ΔE_f	-0.611	eV/atom
crystal system	orthorhombic



Record 4
A plane-wave DFT calculation with GGA-PBE was carried out for a geometry-optimized Tb3Zn3Ga2 structure.

Cell lengths 4.398, 5.708, 14.675 Å; angles 90.00, 90.00, 112.66 degrees
Atoms (fractional coordinates):
Tb: 0.906 0.811 0.392
Tb: 0.094 0.189 0.892
Tb: 0.906 0.811 0.108
Tb: 0.094 0.189 0.608
Tb: 0.627 0.254 0.250
Tb: 0.373 0.746 0.750
Zn: 0.614 0.229 0.465
Zn: 0.386 0.771 0.965
Zn: 0.614 0.229 0.035
Zn: 0.386 0.771 0.535
Zn: 0.340 0.679 0.250
Zn: 0.660 0.321 0.750
Ga: 0.799 0.599 0.897
Ga: 0.201 0.401 0.397
Ga: 0.799 0.599 0.603
Ga: 0.201 0.401 0.103

Properties
spin magnetization	0.0	μB per formula unit
ΔE_f	-0.488	eV/atom
crystal system	orthorhombic



Record 5
A plane-wave DFT calculation with GGA-PBE was carried out for a geometry-optimized Tb6Zn5Ga structure.

Cell lengths 5.059, 7.201, 8.006 Å; angles 90.00, 71.58, 90.00 degrees
Atoms (fractional coordinates):
Zn: 0.667 0.500 0.666
Zn: 0.330 0.000 0.339
Zn: 0.000 0.500 0.000
Zn: 0.670 0.000 0.661
Zn: 0.333 0.500 0.334
Tb: 0.834 0.750 0.332
Tb: 0.834 0.250 0.332
Tb: 0.500 0.249 0.000
Tb: 0.500 0.751 0.000
Tb: 0.166 0.750 0.668
Tb: 0.166 0.250 0.668
Ga: 0.000 0.000 0.000

Properties
spin magnetization	0.0	μB per formula unit
ΔE_f	-0.382	eV/atom
crystal system	orthorhombic



Record 6
A plane-wave DFT calculation with GGA-PBE was carried out for a geometry-optimized Tb4Zn3Ga structure.

Cell lengths 3.679, 4.482, 11.453 Å; angles 90.00, 90.00, 90.00 degrees
Atoms (fractional coordinates):
Tb: 0.500 0.500 0.350
Tb: 0.000 0.500 0.847
Tb: 0.000 0.000 0.152
Tb: 0.500 0.000 0.651
Zn: 0.000 0.500 0.568
Zn: 0.000 0.000 0.431
Zn: 0.500 0.000 0.931
Ga: 0.500 0.500 0.071

Properties
ΔE to the lowest computed polymorph	38	meV per atom
spin magnetization	0.0	μB per formula unit
ΔE_f	-0.366	eV/atom
crystal system	orthorhombic



Record 7
A plane-wave DFT calculation with GGA-PBE was carried out for a geometry-optimized Tb12ZnGa6 structure.

Cell lengths 8.518, 8.518, 8.518 Å; angles 100.85, 100.85, 100.85 degrees
Atoms (fractional coordinates):
Tb: 0.822 0.579 0.438
Tb: 0.438 0.822 0.579
Tb: 0.579 0.438 0.822
Tb: 0.178 0.421 0.562
Tb: 0.562 0.178 0.421
Tb: 0.421 0.562 0.178
Tb: 0.068 0.940 0.323
Tb: 0.060 0.677 0.932
Tb: 0.677 0.932 0.060
Tb: 0.932 0.060 0.677
Tb: 0.940 0.323 0.068
Tb: 0.323 0.068 0.940
Zn: 0.000 0.000 0.000
Ga: 0.693 0.862 0.386
Ga: 0.614 0.307 0.138
Ga: 0.138 0.614 0.307
Ga: 0.307 0.138 0.614
Ga: 0.386 0.693 0.862
Ga: 0.862 0.386 0.693

Properties
spin magnetization	0.0	μB per formula unit
ΔE_f	-0.149	eV/atom
crystal system	trigonal



Record 8
A plane-wave DFT calculation with GGA-PBE was carried out for a geometry-optimized TbZnGa6 structure.

Cell lengths 4.445, 6.138, 6.138 Å; angles 66.17, 90.00, 90.00 degrees
Atoms (fractional coordinates):
Tb: 0.500 0.000 0.000
Zn: 0.500 0.500 0.500
Ga: 0.000 0.701 0.299
Ga: 0.000 0.299 0.701
Ga: 0.000 0.786 0.786
Ga: 0.000 0.214 0.214
Ga: 0.500 0.500 0.000
Ga: 0.500 0.000 0.500

Properties
spin magnetization	0.0	μB per formula unit
ΔE_f	-0.206	eV/atom
crystal system	orthorhombic



Record 9
A plane-wave DFT calculation with GGA-PBE was carried out for a geometry-optimized Tb2ZnGa8 structure.

Cell lengths 4.423, 4.423, 11.039 Å; angles 90.00, 90.00, 90.00 degrees
Atoms (fractional coordinates):
Tb: 0.000 0.000 0.309
Tb: 0.000 0.000 0.691
Zn: 0.000 0.000 0.000
Ga: 0.000 0.500 0.500
Ga: 0.500 0.000 0.500
Ga: 0.500 0.500 0.304
Ga: 0.500 0.500 0.696
Ga: 0.000 0.500 0.126
Ga: 0.500 0.000 0.126
Ga: 0.000 0.500 0.874
Ga: 0.500 0.000 0.874

Properties
spin magnetization	0.0	μB per formula unit
ΔE_f	-0.369	eV/atom
crystal system	tetragonal



Record 10
A plane-wave DFT calculation with GGA-PBE was carried out for a geometry-optimized TbZn2Ga structure.

Cell lengths 3.449, 5.298, 5.298 Å; angles 121.46, 90.00, 90.00 degrees
Atoms (fractional coordinates):
Tb: 0.000 0.945 0.055
Zn: 0.500 0.945 0.555
Zn: 0.500 0.445 0.055
Ga: 0.500 0.445 0.555

Properties
spin magnetization	0.0	μB per formula unit
ΔE_f	-0.254	eV/atom
crystal system	orthorhombic



Record 11
A plane-wave DFT calculation with GGA-PBE was carried out for a geometry-optimized Tb4Zn3Ga structure.

Cell lengths 5.068, 5.068, 8.797 Å; angles 73.26, 73.26, 60.00 degrees
Atoms (fractional coordinates):
Zn: 0.248 0.248 0.256
Zn: 0.752 0.752 0.744
Zn: 0.500 0.500 0.500
Tb: 0.875 0.875 0.375
Tb: 0.375 0.375 0.875
Tb: 0.125 0.125 0.625
Tb: 0.625 0.625 0.125
Ga: 0.000 0.000 0.000

Properties
ΔE to the lowest computed polymorph	0	meV per atom
spin magnetization	0.0	μB per formula unit
ΔE_f	-0.404	eV/atom
crystal system	trigonal



Record 12
A plane-wave DFT calculation with GGA-PBE was carried out for a geometry-optimized Tb5Zn2Ga structure.

Cell lengths 7.406, 7.406, 9.195 Å; angles 113.75, 113.75, 90.00 degrees
Atoms (fractional coordinates):
Tb: 0.518 0.679 0.697
Tb: 0.821 0.982 0.303
Tb: 0.000 0.000 0.000
Tb: 0.500 0.500 0.000
Tb: 0.179 0.018 0.697
Tb: 0.679 0.179 0.697
Tb: 0.018 0.518 0.697
Tb: 0.321 0.821 0.303
Tb: 0.982 0.482 0.303
Tb: 0.482 0.321 0.303
Zn: 0.120 0.380 0.000
Zn: 0.620 0.120 0.000
Zn: 0.380 0.880 0.000
Zn: 0.880 0.620 0.000
Ga: 0.750 0.750 0.500
Ga: 0.250 0.250 0.500

Properties
spin magnetization	0.0	μB per formula unit
ΔE_f	-0.306	eV/atom
crystal system	tetragonal



Record 13
A plane-wave DFT calculation with GGA-PBE was carried out for a geometry-optimized Tb3Zn2Ga7 structure.

Cell lengths 4.139, 4.204, 13.748 Å; angles 98.80, 90.00, 90.00 degrees
Atoms (fractional coordinates):
Tb: 0.500 0.500 0.000
Tb: 0.500 0.677 0.354
Tb: 0.500 0.323 0.646
Zn: 0.000 0.860 0.720
Zn: 0.000 0.140 0.280
Ga: 0.000 0.416 0.832
Ga: 0.000 0.772 0.544
Ga: 0.000 0.000 0.000
Ga: 0.000 0.584 0.168
Ga: 0.500 0.083 0.166
Ga: 0.500 0.917 0.834
Ga: 0.000 0.228 0.456

Properties
ΔE to the lowest computed polymorph	6	meV per atom
spin magnetization	0.0	μB per formula unit
ΔE_f	-0.487	eV/atom
crystal system	orthorhombic



Record 14
A plane-wave DFT calculation with GGA-PBE was carried out for a geometry-optimized Tb3Zn9Ga2 structure.

Cell lengths 4.308, 8.152, 8.152 Å; angles 70.97, 74.68, 74.68 degrees
Atoms (fractional coordinates):
Tb: 0.000 0.000 0.000
Tb: 0.697 0.303 0.303
Tb: 0.303 0.697 0.697
Zn: 0.000 0.500 0.500
Zn: 0.660 0.972 0.708
Zn: 0.340 0.028 0.292
Zn: 0.660 0.708 0.972
Zn: 0.340 0.292 0.028
Zn: 0.858 0.865 0.419
Zn: 0.142 0.135 0.581
Zn: 0.858 0.419 0.865
Zn: 0.142 0.581 0.135
Ga: 0.500 0.300 0.700
Ga: 0.500 0.700 0.300

Properties
spin magnetization	0.0	μB per formula unit
ΔE_f	-0.362	eV/atom
crystal system	orthorhombic



Record 15
A plane-wave DFT calculation with GGA-PBE was carried out for a geometry-optimized Tb2ZnGa structure.

Cell lengths 3.651, 3.651, 9.055 Å; angles 78.37, 78.37, 60.00 degrees
Atoms (fractional coordinates):
Zn: 0.500 0.500 0.500
Tb: 0.749 0.749 0.753
Tb: 0.251 0.251 0.247
Ga: 0.000 0.000 0.000

Properties
spin magnetization	0.0	μB per formula unit
ΔE_f	-0.278	eV/atom
crystal system	trigonal



Record 16
A plane-wave DFT calculation with GGA-PBE was carried out for a geometry-optimized Tb2Zn3Ga4 structure.

Cell lengths 5.749, 7.729, 8.119 Å; angles 90.00, 110.74, 90.00 degrees
Atoms (fractional coordinates):
Tb: 0.108 0.596 0.216
Tb: 0.892 0.404 0.784
Tb: 0.392 0.096 0.784
Tb: 0.608 0.904 0.216
Zn: 0.000 0.000 0.000
Zn: 0.500 0.500 0.000
Zn: 0.521 0.750 0.541
Zn: 0.979 0.250 0.459
Zn: 0.479 0.250 0.459
Zn: 0.021 0.750 0.541
Ga: 0.690 0.750 0.880
Ga: 0.810 0.250 0.120
Ga: 0.310 0.250 0.120
Ga: 0.190 0.750 0.880
Ga: 0.175 0.979 0.351
Ga: 0.825 0.021 0.649
Ga: 0.325 0.479 0.649
Ga: 0.675 0.521 0.351

Properties
spin magnetization	0.0	μB per formula unit
ΔE_f	-0.419	eV/atom
crystal system	orthorhombic



Record 17
A plane-wave DFT calculation with GGA-PBE was carried out for a geometry-optimized Tb3Zn2Ga7 structure.

Cell lengths 4.187, 4.192, 13.630 Å; angles 98.99, 90.00, 90.00 degrees
Atoms (fractional coordinates):
Tb: 0.000 0.815 0.630
Tb: 0.000 0.185 0.370
Tb: 0.500 0.500 0.000
Zn: 0.500 0.639 0.274
Zn: 0.500 0.361 0.726
Ga: 0.500 0.917 0.835
Ga: 0.500 0.083 0.165
Ga: 0.500 0.727 0.453
Ga: 0.500 0.273 0.547
Ga: 0.000 0.000 0.000
Ga: 0.000 0.416 0.834
Ga: 0.000 0.584 0.166

Properties
ΔE to the lowest computed polymorph	0	meV per atom
spin magnetization	0.0	μB per formula unit
ΔE_f	-0.493	eV/atom
crystal system	monoclinic



Record 18
A plane-wave DFT calculation with GGA-PBE was carried out for a geometry-optimized Tb3ZnGa12 structure.

Cell lengths 4.261, 4.261, 16.950 Å; angles 90.00, 90.00, 90.00 degrees
Atoms (fractional coordinates):
Tb: 0.000 0.000 0.243
Tb: 0.000 0.000 0.500
Tb: 0.000 0.000 0.757
Zn: 0.000 0.000 0.000
Ga: 0.500 0.500 0.000
Ga: 0.500 0.500 0.256
Ga: 0.500 0.500 0.500
Ga: 0.500 0.500 0.744
Ga: 0.500 0.000 0.111
Ga: 0.500 0.000 0.371
Ga: 0.500 0.000 0.629
Ga: 0.500 0.000 0.889
Ga: 0.000 0.500 0.111
Ga: 0.000 0.500 0.371
Ga: 0.000 0.500 0.629
Ga: 0.000 0.500 0.889

Properties
spin magnetization	0.0	μB per formula unit
ΔE_f	-0.383	eV/atom
crystal system	tetragonal



Record 19
A plane-wave DFT calculation with GGA-PBE was carried out for a geometry-optimized Tb2Zn3Ga structure.

Cell lengths 3.962, 4.226, 8.150 Å; angles 105.02, 104.07, 90.00 degrees
Atoms (fractional coordinates):
Tb: 0.124 0.124 0.248
Tb: 0.876 0.376 0.752
Zn: 0.704 0.704 0.408
Zn: 0.542 0.542 0.083
Zn: 0.295 0.795 0.591
Ga: 0.459 0.959 0.918

Properties
ΔE to the lowest computed polymorph	75	meV per atom
spin magnetization	0.0	μB per formula unit
ΔE_f	-0.399	eV/atom
crystal system	orthorhombic



Record 20
A plane-wave DFT calculation with GGA-PBE was carried out for a geometry-optimized TbZn4Ga3 structure.

Cell lengths 4.230, 4.230, 8.153 Å; angles 90.00, 90.00, 90.00 degrees
Atoms (fractional coordinates):
Zn: 0.500 0.000 0.181
Zn: 0.000 0.500 0.181
Zn: 0.500 0.000 0.819
Zn: 0.000 0.500 0.819
Tb: 0.000 0.000 0.500
Ga: 0.000 0.000 0.000
Ga: 0.500 0.500 0.353
Ga: 0.500 0.500 0.647

Properties
spin magnetization	0.0	μB per formula unit
ΔE_f	-0.249	eV/atom
crystal system	tetragonal